VASP calculation (PBE) on a relaxed SnBi3Pd crystal.

Cell and atoms, written as POSCAR:
```
SnBi3Pd
1.0
-5.0893 -1.5166 1.1162
1.2815 -0.4325 5.2552
-1.3798 5.1922 0.7638
Bi Sn Pd
3 1 1
Direct
0.0000 0.0000 0.5000 Bi
0.5000 0.0000 0.0000 Bi
0.0000 0.5000 0.0000 Bi
0.5000 0.5000 0.5000 Sn
0.0000 0.0000 0.0000 Pd
```

Results
formation enthalpy at 0 K	0.27	eV/atom
E	-3.89	eV/atom

VASP calculation (PBE) on a relaxed Nd4DyY2 crystal.

Cell and atoms, written as POSCAR:
```
Nd4DyY2
1.0
3.6022 0.0000 0.0000
-1.8011 11.0496 0.0000
0.0000 0.0000 12.3433
Nd Y Dy
8 4 2
Direct
0.7378 0.4756 0.1217 Nd
0.0614 0.1228 0.2500 Nd
0.5000 0.0000 0.5000 Nd
0.2622 0.5244 0.6217 Nd
0.5000 0.0000 0.0000 Nd
0.9386 0.8772 0.7500 Nd
0.7378 0.4756 0.3783 Nd
0.2622 0.5244 0.8783 Nd
0.8733 0.7465 0.0104 Y
0.8733 0.7465 0.4896 Y
0.1267 0.2535 0.9896 Y
0.1267 0.2535 0.5104 Y
0.6041 0.2083 0.7500 Dy
0.3959 0.7917 0.2500 Dy
```

Results
formation enthalpy at 0 K	0.20	eV/atom
E	-5.03	eV/atom

VASP calculation (PBE) on a relaxed CePrTh2 crystal.

Cell and atoms, written as POSCAR:
```
CePrTh2
1.0
-0.5630 0.9167 3.3299
-2.7484 -1.3006 1.7321
5.7894 -9.6511 5.4743
Th Ce Pr
2 1 1
Direct
0.9104 0.9104 0.2687 Th
0.0896 0.0896 0.7313 Th
0.5000 0.5000 0.5000 Ce
0.0000 0.0000 0.0000 Pr
```

Results
formation enthalpy at 0 K	0.22	eV/atom
E	-6.16	eV/atom

VASP calculation (PBE) on a relaxed Ti2Hg crystal.

Cell and atoms, written as POSCAR:
```
Ti2Hg
1.0
-2.3263 -1.7677 0.2001
3.2124 -2.2806 -4.2324
2.5580 -2.6802 6.0617
Hg Ti
2 4
Direct
0.1335 0.2670 0.0199 Hg
0.8665 0.7330 0.9801 Hg
0.5384 0.0768 0.3337 Ti
0.4616 0.9232 0.6663 Ti
0.8048 0.6096 0.3677 Ti
0.1952 0.3904 0.6323 Ti
```

Results
formation enthalpy at 0 K	-0.02	eV/atom
E	-5.38	eV/atom

VASP calculation (PBE) on a relaxed Be4Co3 crystal.

Cell and atoms, written as POSCAR:
```
Be4Co3
1.0
-2.7162 0.2808 3.4995
-2.8531 -3.2542 -3.8302
4.7967 -2.4911 2.0462
Be Co
8 6
Direct
0.3812 0.4497 0.1480 Be
0.7668 0.1480 0.6983 Be
0.0685 0.3017 0.4497 Be
0.6188 0.5503 0.8520 Be
0.5000 0.0000 0.0000 Be
0.2332 0.8520 0.3017 Be
0.0000 0.0000 0.0000 Be
0.9315 0.6983 0.5503 Be
0.2671 0.1350 0.7232 Co
0.5439 0.2768 0.4117 Co
0.4561 0.7232 0.5883 Co
0.7329 0.8650 0.2768 Co
0.1322 0.5883 0.8650 Co
0.8678 0.4117 0.1350 Co
```

Results
formation enthalpy at 0 K	-0.32	eV/atom
E	-5.49	eV/atom

VASP calculation (PBE) on a relaxed Ca5HgRh2 crystal.

Cell and atoms, written as POSCAR:
```
Ca5HgRh2
1.0
7.0144 0.0000 -3.3112
-1.5630 6.8380 -3.3112
0.0080 0.0100 9.1022
Ca Rh Hg
10 4 2
Direct
0.4641 0.2983 0.2624 Ca
0.0000 0.0000 0.0000 Ca
0.7983 0.9641 0.2624 Ca
0.7017 0.2017 0.7376 Ca
0.5359 0.7017 0.7376 Ca
0.2017 0.0359 0.7376 Ca
0.2983 0.7983 0.2624 Ca
0.9641 0.4641 0.2624 Ca
0.5000 0.5000 0.0000 Ca
0.0359 0.5359 0.7376 Ca
0.8736 0.6264 0.0000 Rh
0.3736 0.8736 0.0000 Rh
0.1264 0.3736 0.0000 Rh
0.6264 0.1264 0.0000 Rh
0.2500 0.2500 0.5000 Hg
0.7500 0.7500 0.5000 Hg
```

Results
formation enthalpy at 0 K	-0.42	eV/atom
E	-3.55	eV/atom